(1)
Computed, not measured: crystalline Ba4Pa3GeN8 at its relaxed geometry at the GGA-PBE level of DFT.

Geometry as CIF:
```
data_Ba4Pa3GeN8
_cell_length_a 7.6304
_cell_length_b 7.6304
_cell_length_c 7.6304
_cell_angle_alpha 57.43
_cell_angle_beta 57.43
_cell_angle_gamma 57.43
_symmetry_space_group_name_H-M 'P 1'
_symmetry_Int_Tables_number 1
_symmetry_space_group_name_Hall 'P 1'
loop_
_atom_site_label
_atom_site_type_symbol
_atom_site_fract_x
_atom_site_fract_y
_atom_site_fract_z
Ba1 Ba 0.0000 0.0000 0.0000
Ba2 Ba 0.0000 0.5000 0.5000
Ba3 Ba 0.5000 0.0000 0.5000
Ba4 Ba 0.5000 0.5000 0.0000
Pa1 Pa 0.0000 0.0000 0.5000
Pa2 Pa 0.0000 0.5000 0.0000
Pa3 Pa 0.5000 0.0000 0.0000
Ge1 Ge 0.5000 0.5000 0.5000
N1 N 0.1934 0.7436 0.7436
N2 N 0.2283 0.2283 0.2283
N3 N 0.2564 0.2564 0.8066
N4 N 0.2564 0.8066 0.2564
N5 N 0.7436 0.1934 0.7436
N6 N 0.7436 0.7436 0.1934
N7 N 0.7717 0.7717 0.7717
N8 N 0.8066 0.2564 0.2564
```

## Properties
**Crystal system**: trigonal

---

(2)
Computed, not measured: crystalline BaPmGeN3 at its relaxed geometry at the GGA-PBE level of DFT.

Geometry as CIF:
```
data_BaPmGeN3
_cell_length_a 6.8816
_cell_length_b 6.8816
_cell_length_c 7.7149
_cell_angle_alpha 105.40
_cell_angle_beta 105.40
_cell_angle_gamma 34.68
_symmetry_space_group_name_H-M 'P 1'
_symmetry_Int_Tables_number 1
_symmetry_space_group_name_Hall 'P 1'
loop_
_atom_site_label
_atom_site_type_symbol
_atom_site_fract_x
_atom_site_fract_y
_atom_site_fract_z
Ba1 Ba 0.1460 0.1460 0.0730
Ba2 Ba 0.8540 0.8540 0.9270
Pm1 Pm 0.1493 0.1493 0.5731
Pm2 Pm 0.8507 0.8507 0.4269
Ge1 Ge 0.4959 0.4959 0.7201
Ge2 Ge 0.5041 0.5041 0.2799
N1 N 0.0042 0.0042 0.2944
N2 N 0.3442 0.3442 0.6490
N3 N 0.3543 0.3543 0.2095
N4 N 0.6457 0.6457 0.7905
N5 N 0.6558 0.6558 0.3510
N6 N 0.9958 0.9958 0.7056
```

## Properties
**Crystal system**: monoclinic

---

(3)
Computed, not measured: crystalline BaGeS2N at its relaxed geometry at the GGA-PBE level of DFT.

Geometry as CIF:
```
data_BaGeS2N
_cell_length_a 5.8295
_cell_length_b 5.8295
_cell_length_c 5.0428
_cell_angle_alpha 90.00
_cell_angle_beta 90.00
_cell_angle_gamma 90.00
_symmetry_space_group_name_H-M 'P 1'
_symmetry_Int_Tables_number 1
_symmetry_space_group_name_Hall 'P 1'
loop_
_atom_site_label
_atom_site_type_symbol
_atom_site_fract_x
_atom_site_fract_y
_atom_site_fract_z
Ba1 Ba 0.0000 0.0000 0.0000
Ge1 Ge 0.5000 0.5000 0.5000
S1 S 0.0000 0.5000 0.0000
S2 S 0.5000 0.0000 0.0000
N1 N 0.0000 0.0000 0.5000
```

## Properties
**Crystal system**: tetragonal

---

For the records above, the corresponding DFT total energy values read -122.7, -78.6, -17.7 eV/cell.